TaSnPd6 | PBE | optimized geometry

Cell: 3.995 3.995 8.058 Å, 90.00 90.00 90.00°
Fractional positions:
Ta (0.000, 0.000, 0.500)
Sn (0.000, 0.000, 0.000)
Pd (0.500, 0.500, 0.000)
Pd (0.500, 0.500, 0.500)
Pd (0.500, 0.000, 0.262)
Pd (0.500, 0.000, 0.738)
Pd (0.000, 0.500, 0.262)
Pd (0.000, 0.500, 0.738)

Properties
Total magnetization ... 0.000 μB per atom

Tb12Y3Tm | PBE | optimized geometry

Cell: 5.033 5.033 20.118 Å, 90.00 90.00 90.00°
Fractional positions:
Tb (0.500, 0.500, 0.000)
Tb (0.500, 0.500, 0.249)
Tb (0.500, 0.500, 0.500)
Tb (0.500, 0.500, 0.751)
Tb (0.500, 0.000, 0.124)
Tb (0.500, 0.000, 0.375)
Tb (0.500, 0.000, 0.625)
Tb (0.500, 0.000, 0.876)
Tb (0.000, 0.500, 0.124)
Tb (0.000, 0.500, 0.375)
Tb (0.000, 0.500, 0.625)
Tb (0.000, 0.500, 0.876)
Y (0.000, 0.000, 0.249)
Y (0.000, 0.000, 0.500)
Y (0.000, 0.000, 0.751)
Tm (0.000, 0.000, 0.000)

Properties
Total magnetization ... 0.000 μB per atom

CrRe2Os2 | PBE | optimized geometry

Cell: 7.495 7.495 2.789 Å, 90.00 90.00 90.00°
Site moments in Bohr magnetons follow the coordinates.
Fractional positions:
Re (0.170, 0.670, 0.500)  -0.20
Re (0.670, 0.830, 0.500)  -0.20
Re (0.830, 0.330, 0.500)  -0.20
Re (0.330, 0.170, 0.500)  -0.20
Os (0.374, 0.874, 0.000)  -0.05
Os (0.874, 0.626, 0.000)  -0.04
Os (0.626, 0.126, 0.000)  -0.05
Os (0.126, 0.374, 0.000)  -0.04
Cr (0.000, 0.000, 0.000)  2.89
Cr (0.500, 0.500, 0.000)  2.89

Properties
Total magnetization ... 0.523 μB per atom

Mg2PdAu | PBE | optimized geometry

Cell: 4.566 4.599 4.599 Å, 59.53 60.23 60.23°
Fractional positions:
Mg (0.000, 0.000, 0.000)
Mg (0.500, 0.500, 0.500)
Au (0.250, 0.250, 0.250)
Pd (0.750, 0.750, 0.750)

Properties
Total magnetization ... 0.000 μB per atom

BeCd2Ni | PBE | optimized geometry

Cell: 4.148 4.148 3.519 Å, 90.00 90.00 90.00°
Fractional positions:
Ni (0.500, 0.000, 0.500)
Be (0.000, 0.500, 0.500)
Cd (0.000, 0.000, 0.000)
Cd (0.500, 0.500, 0.000)

Properties
Total magnetization ... 0.000 μB per atom

Mg2TlHg2 | PBE | optimized geometry

Cell: 5.053 5.053 5.805 Å, 90.00 90.00 120.00°
Fractional positions:
Mg (0.333, 0.667, 0.161)
Mg (0.667, 0.333, 0.839)
Tl (0.000, 0.000, 0.000)
Hg (0.333, 0.667, 0.650)
Hg (0.667, 0.333, 0.350)

Properties
Total magnetization ... 0.000 μB per atom

no.,ρ (g cm⁻³),calculated formation energy (meV per atom)
1,12.11,-485
2,7.63,19
3,17.06,365
4,8.56,-670
5,8.02,218
6,8.46,-57